! TaTl2Si, relaxed, DFT GGA-PBE; values from VASP
&SYSTEM
  ibrav = 0, nat = 4, ntyp = 3
/
ATOMIC_SPECIES
Ta 180.95 Ta.upf
Tl 204.38 Tl.upf
Si 28.09 Si.upf
CELL_PARAMETERS angstrom
5.912 -0.006 0.029
5.182 2.846 0.029
1.585 0.406 5.200
ATOMIC_POSITIONS crystal
Ta 0.784 0.784 0.783
Tl 0.026 0.026 0.934
Si 0.459 0.459 0.476
Tl 0.231 0.231 0.306
! Distance to the lowest polymorph of the same formula   210 meV/atom
! Uncorrected formation energy   1.96 eV per formula unit
! Total magnetization   0.00 μB/atom